# La2AlFe

A geometry-optimized La2AlFe structure (GGA-PBE, Alexandria).

## Properties
The calculation puts the total energy at -21.16 eV for the cell shown. For the density of states at the Fermi level, the calculation gives 5.71 states/eV/f.u. The space group is R-3m (166). The calculation puts the formation energy at 21.6 kJ per mole of atoms.

Cell lengths 8.7851, 8.7851, 8.7851 Å; angles 25.33, 25.33, 25.33 degrees
Last column: nearest neighbours and their distance in Å.
Positions (direct):
La 0.0125 0.0125 0.0125  3 Fe 2.87
La 0.4875 0.4875 0.4875  3 Fe 2.87
Al 0.2500 0.2500 0.2500  6 La 3.30
Fe 0.7500 0.7500 0.7500  6 La 2.87